First-principles (PBE-GGA) data for ZrCu2SnC after structural relaxation, as listed in Alexandria via LeMat-Bulk.

Geometry as POSCAR:
```
ZrCu2SnC
1.0
4.870 0.000 0.000
0.000 4.870 0.000
0.000 0.000 5.658
Zr Cu Sn C
1 2 1 1
Cartesian
0.000 0.000 0.000
0.000 2.435 0.000
2.435 0.000 0.000
0.000 0.000 2.829
2.435 2.435 2.829
```

Results
- density (Mg/m³) = 4.319
- total DFT energy (no corrections) (eV/atom) = -3.66
- SG = P4/mmm, No. 123
- energy of formation (eV/atom) = 2.332